(P)
La2CoGePb after structural relaxation. Source: the Alexandria database, functional PBE.

Values from the calculation:
space-group type = P4/mmm, No. 123
total moment = 0.000 μB per atom
calculated density = 7.8 g/cm³
V = 26.35 A^3/atom

Geometry as extended XYZ:
```
5
Lattice="5.368 0.000 0.000 0.000 5.368 0.000 0.000 0.000 4.573" Properties=species:S:1:pos:R:3 pbc="T T T"
La 2.684 0.000 0.000
La 0.000 2.684 0.000
Co 0.000 0.000 0.000
Ge 0.000 0.000 2.287
Pb 2.684 2.684 2.287
```

---

(Q)
La2CoGePb after structural relaxation. Source: the Alexandria database, functional PBE.

Values from the calculation:
space-group type = P4/mmm, No. 123
total moment = 0.000 μB per atom
calculated density = 7.6 g/cm³
V = 27.07 A^3/atom

Geometry as extended XYZ:
```
5
Lattice="-4.838 -0.063 -2.004 1.007 -4.603 -2.287 -1.634 -2.354 4.018" Properties=species:S:1:pos:R:3 pbc="T T T"
Ge -2.733 -3.510 -0.136
Co 0.000 0.000 0.000
La 0.503 -2.301 -1.143
La -2.419 -0.031 -1.002
Pb -0.817 -1.177 2.009
```

---

Least stable structure: (Q)

---

(P)
La2ZnCoGe after structural relaxation. Source: the Alexandria database, functional PBE.

Values from the calculation:
space-group type = P4/mmm, No. 123
total moment = 0.000 μB per atom
calculated density = 6.4 g/cm³
V = 24.72 A^3/atom

Geometry as extended XYZ:
```
5
Lattice="-4.013 2.614 -1.953 0.415 -2.661 -4.415 -2.892 -3.202 1.658" Properties=species:S:1:pos:R:3 pbc="T T T"
Ge -3.245 -1.624 -2.355
La 0.208 -1.331 -2.208
La -2.006 1.307 -0.976
Zn -1.446 -1.601 0.829
Co 0.000 0.000 0.000
```

---

(Q)
La2ZnCoGe after structural relaxation. Source: the Alexandria database, functional PBE.

Values from the calculation:
space-group type = P4/mmm, No. 123
total moment = 0.000 μB per atom
calculated density = 6.2 g/cm³
V = 25.44 A^3/atom

Geometry as extended XYZ:
```
5
Lattice="-1.027 -5.193 -0.598 2.977 -0.080 -4.417 3.614 -0.997 2.454" Properties=species:S:1:pos:R:3 pbc="T T T"
Co 0.000 0.000 0.000
La -0.514 -2.597 -0.299
La 1.489 -0.040 -2.209
Ge 1.807 -0.499 1.227
Zn 2.782 -3.136 -1.281
```

---

Least stable structure: (P)

---

(P)
LiCoGe3 after structural relaxation. Source: the Alexandria database, functional PBE.

Values from the calculation:
space-group type = Pm-3m, No. 221
total moment = 0.111 μB per atom
calculated density = 4.9 g/cm³
V = 19.27 A^3/atom

Geometry as extended XYZ:
```
5
Lattice="4.584 0.000 0.000 0.000 4.584 0.000 0.000 0.000 4.584" Properties=species:S:1:pos:R:3 pbc="T T T"
Ge 0.000 0.000 2.292
Ge 2.292 0.000 0.000
Ge 0.000 2.292 0.000
Co 0.000 0.000 0.000
Li 2.292 2.292 2.292
```

---

(Q)
LiCoGe3 after structural relaxation. Source: the Alexandria database, functional PBE.

Values from the calculation:
space-group type = P2_1/m, No. 11
total moment = 0.000 μB per atom
calculated density = 5.8 g/cm³
V = 16.18 A^3/atom

Geometry as extended XYZ:
```
10
Lattice="5.354 -0.002 0.535 0.132 5.231 -1.318 -0.668 -3.854 6.691" Properties=species:S:1:pos:R:3 pbc="T T T"
Ge 1.233 1.727 1.198
Ge 3.655 2.381 4.017
Ge 3.585 -0.351 4.710
Ge 1.163 -1.006 1.890
Ge 0.988 0.897 3.643
Ge 3.830 0.478 2.265
Li 3.980 2.878 0.756
Li 0.838 -1.503 5.152
Co 0.000 0.000 0.000
Co 2.677 -0.001 0.267
```

---

Least stable structure: (P)